This record from Alexandria via LeMat-Bulk describes an optimized crystal structure of BaCoNO2. The functional is PBE+U.

Values from the calculation:
Total DFT energy (no corrections)   -28.8 eV per cell
Total moment   0.345 μB per atom
Fermi-level density of states   2.4 states/eV per cell
Space-group type   P4/mmm (123)

Cell lengths 4.196, 4.196, 3.677 Å; angles 90.00, 90.00, 90.00 degrees
Last column: magnetic moment on the atom in μB.
Fractional positions:
Co: 0.000 0.000 0.000  2.23
Ba: 0.500 0.500 0.500  0.02
O: 0.000 0.500 0.000  -0.15
O: 0.500 0.000 0.000  -0.15
N: 0.000 0.000 0.500  -0.17